(1)
An optimized crystal structure of NdDy2TmMg. Source: Alexandria via LeMat-Bulk, functional GGA-PBE.

Properties
The value obtained for the magnetic moment is 0.0 μB/cell. The formation energy from the elements comes out at 0.08 eV/f.u. The calculation puts the calculated volume at 30.49 Å³ per atom.

POSCAR file:
```
NdDy2TmMg
1.0
6.160 0.000 0.000
0.000 5.592 0.000
-3.029 0.000 8.851
Nd Dy Tm Mg
2 4 2 2
Cartesian
-0.941 1.398 3.424
4.073 4.194 5.427
1.125 4.194 3.492
2.168 1.398 1.762
0.963 4.194 7.088
2.006 1.398 5.359
-2.047 4.194 8.848
5.179 1.398 0.002
-1.015 1.398 7.150
4.146 4.194 1.700
```



(2)
An optimized crystal structure of CuTcCl2. Source: Alexandria via LeMat-Bulk, functional GGA-PBE.

Properties
The value obtained for the magnetic moment is 3.4 μB/cell. The calculation puts the calculated volume at 18.73 Å³ per atom. For the uncorrected formation energy, the calculation gives 50.2 kJ per mole of atoms.

POSCAR file:
```
CuTcCl2
1.0
-1.780 1.780 5.915
1.780 -1.780 5.915
1.780 1.780 -5.915
Cu Tc Cl
1 1 2
Cartesian
0.000 0.000 0.000
1.780 0.000 2.957
0.000 0.000 5.915
0.000 1.780 2.957
```



(3)
An optimized crystal structure of Er3S3OF. Source: Alexandria via LeMat-Bulk, functional GGA-PBE.

Properties
The value obtained for the magnetic moment is 0.0 μB/cell. The calculation puts the calculated volume at 18.51 Å³ per atom. For the uncorrected formation energy, the calculation gives -263.4 kJ per mole of atoms.

POSCAR file:
```
Er3S3OF
1.0
-1.879 1.879 10.489
1.879 -1.879 10.489
1.879 1.879 -10.489
Er S O F
3 3 1 1
Cartesian
0.000 0.000 0.000
0.000 0.000 6.575
0.000 0.000 14.402
0.000 0.000 2.699
0.000 0.000 10.489
0.000 0.000 18.278
1.879 0.000 5.244
0.000 1.879 5.244
```



(4)
An optimized crystal structure of Nb3Te4. Source: Alexandria via LeMat-Bulk, functional GGA-PBE.

Properties
The value obtained for the magnetic moment is 0.0 μB/cell. The calculation puts the calculated volume at 24.10 Å³ per atom. For the uncorrected formation energy, the calculation gives -24.4 kJ per mole of atoms.

POSCAR file:
```
Nb3Te4
1.0
6.684 -2.306 0.000
6.684 2.306 0.000
-1.738 0.000 5.473
Nb Te
3 4
Cartesian
0.000 0.000 0.000
2.428 0.000 1.765
9.202 0.000 3.708
0.831 0.000 4.316
4.401 0.000 3.843
7.229 0.000 1.630
10.799 0.000 1.157
```



(5)
An optimized crystal structure of ErIn3Hg6. Source: Alexandria via LeMat-Bulk, functional GGA-PBE.

Properties
The value obtained for the magnetic moment is 0.0 μB/cell. The formation energy from the elements comes out at -1.01 eV/f.u. The calculation puts the calculated volume at 26.14 Å³ per atom.

POSCAR file:
```
ErIn3Hg6
1.0
9.816 0.000 0.000
0.000 4.918 0.000
-3.858 0.000 10.828
Er In Hg
2 6 12
Cartesian
-0.721 1.229 4.272
6.679 3.688 6.557
1.520 1.229 0.600
0.719 3.688 9.075
1.704 1.229 6.715
4.254 3.688 4.113
5.239 1.229 1.754
4.438 3.688 10.229
-2.401 3.688 9.572
-1.396 1.229 7.682
0.698 3.688 2.764
-0.068 3.688 6.030
2.436 1.229 3.729
3.564 3.688 1.126
2.394 1.229 9.703
3.523 3.688 7.099
6.026 1.229 4.799
5.261 1.229 8.064
7.355 3.688 3.146
8.359 1.229 1.257
```



(6)
An optimized crystal structure of AcTbLuSc. Source: Alexandria via LeMat-Bulk, functional GGA-PBE.

Properties
The value obtained for the magnetic moment is 0.0 μB/cell. The formation energy from the elements comes out at 0.43 eV/f.u. The calculation puts the calculated volume at 32.34 Å³ per atom.

POSCAR file:
```
AcTbLuSc
1.0
0.000 4.014 4.014
4.014 0.000 4.014
4.014 4.014 0.000
Ac Tb Lu Sc
1 1 1 1
Cartesian
0.000 0.000 0.000
4.014 4.014 4.014
2.007 2.007 2.007
6.021 6.021 6.021
```



(7)
An optimized crystal structure of MgI3Cl9. Source: Alexandria via LeMat-Bulk, functional GGA-PBE.

Properties
The value obtained for the magnetic moment is 0.0 μB/cell. The calculation puts the calculated volume at 42.77 Å³ per atom. For the uncorrected formation energy, the calculation gives -51.3 kJ per mole of atoms.

POSCAR file:
```
MgI3Cl9
1.0
9.606 -5.298 0.000
9.606 5.298 0.000
-7.811 0.000 10.924
Mg I Cl
2 6 18
Cartesian
5.700 3.025 5.462
9.606 -3.025 0.000
0.091 0.421 9.901
3.997 -0.421 4.439
4.694 0.597 8.646
8.599 -0.597 3.184
12.622 0.532 7.743
16.528 -0.532 2.281
-0.376 0.142 1.325
-4.282 -0.142 6.787
0.826 2.492 8.907
-2.144 1.138 10.341
3.469 1.991 5.477
7.827 4.025 4.750
1.761 -1.138 4.879
6.470 0.819 4.111
6.559 1.844 7.581
2.565 -0.819 9.573
7.375 -1.991 0.015
4.732 -2.492 3.445
10.442 1.289 8.726
10.465 -1.844 2.119
11.474 0.042 5.692
15.380 -0.042 0.230
3.922 -4.025 10.212
14.348 -1.289 3.264
```



(8)
An optimized crystal structure of Pm12InSn3. Source: Alexandria via LeMat-Bulk, functional GGA-PBE.

Properties
The value obtained for the magnetic moment is 0.0 μB/cell. The formation energy from the elements comes out at -6.55 eV/f.u. The calculation puts the calculated volume at 29.91 Å³ per atom.

POSCAR file:
```
Pm12InSn3
1.0
4.932 0.000 0.000
0.000 4.932 0.000
0.000 0.000 19.677
Pm In Sn
12 1 3
Cartesian
0.000 0.000 0.000
0.000 0.000 4.887
0.000 0.000 9.838
0.000 0.000 14.790
0.000 2.466 2.442
0.000 2.466 7.340
0.000 2.466 12.337
0.000 2.466 17.234
2.466 0.000 2.442
2.466 0.000 7.340
2.466 0.000 12.337
2.466 0.000 17.234
2.466 2.466 9.838
2.466 2.466 0.000
2.466 2.466 4.922
2.466 2.466 14.755
```



(9)
An optimized crystal structure of K3Np2O8. Source: Alexandria via LeMat-Bulk, functional GGA-PBE.

Properties
The value obtained for the magnetic moment is 1.0 μB/cell. The calculation puts the calculated volume at 20.89 Å³ per atom. For the uncorrected formation energy, the calculation gives -195.2 kJ per mole of atoms.

POSCAR file:
```
K3Np2O8
1.0
3.410 1.969 6.743
-3.410 1.969 6.743
0.000 -3.938 6.743
K Np O
3 2 8
Cartesian
0.000 0.000 0.000
0.000 0.000 3.879
0.000 0.000 16.349
0.000 0.000 8.419
0.000 0.000 11.809
-1.656 -0.956 11.512
0.000 -1.913 8.716
-1.656 0.956 8.716
0.000 0.000 6.492
0.000 0.000 13.736
1.656 -0.956 11.512
0.000 1.913 11.512
1.656 0.956 8.716
```



(10)
An optimized crystal structure of Sm2EuDy. Source: Alexandria via LeMat-Bulk, functional GGA-PBE.

Properties
The value obtained for the magnetic moment is 7.4 μB/cell. The formation energy from the elements comes out at 0.17 eV/f.u. The calculation puts the calculated volume at 34.68 Å³ per atom.

POSCAR file:
```
Sm2EuDy
1.0
3.652 0.000 0.000
0.000 3.652 0.000
0.000 0.000 10.402
Sm Eu Dy
2 1 1
Cartesian
0.000 0.000 2.442
0.000 0.000 7.960
1.826 1.826 5.201
1.826 1.826 0.000
```



- Number 2 is which compound?
  CuTcCl2



- calculated volume of number 8 (Pm12InSn3)?
  29.91 Å³ per atom